No. 1
Material: Mg2MnBr
Method: DFT, GGA-PBE
State: optimized geometry

Cell lengths 5.2232, 5.2232, 3.2547 Å; angles 90.00, 90.00, 107.14 degrees
Positions (direct):
Mg 0.0000 0.5000 0.0000
Mg 0.5000 0.0000 0.0000
Mn 0.0000 0.0000 0.5000
Br 0.5000 0.5000 0.5000

DOS(E_F)	2.338	states/eV/cell
formation energy from raw total energies	0.07	eV per atom
total magnetic moment	3.7	μB per cell
E above lowest polymorph	188	meV/atom
space-group type	Cmmm, No. 65

No. 2
Material: LiCuRh2
Method: DFT, GGA-PBE
State: optimized geometry

Cell lengths 4.6720, 4.6720, 4.5114 Å; angles 100.25, 100.25, 33.66 degrees
Positions (direct):
Li 0.0000 0.0000 0.0000
Cu 0.7534 0.7534 0.1933
Rh 0.2408 0.2408 0.6877
Rh 0.4952 0.4952 0.5008

DOS(E_F)	4.467	states/eV/cell
total magnetic moment	0.0	μB per cell
energy of formation	-53.8	meV per atom
space-group type	Cm, No. 8

No. 3
Material: Pu3GeTe2
Method: DFT, GGA-PBE
State: optimized geometry

Cell lengths 7.5561, 7.5561, 7.5346 Å; angles 99.67, 99.67, 120.10 degrees
Positions (direct):
Pu 0.0000 0.5000 0.0000
Pu 0.1457 0.2965 0.4917
Pu 0.2965 0.1457 0.9917
Pu 0.5000 0.0000 0.5000
Pu 0.7035 0.8543 0.0083
Pu 0.8543 0.7035 0.5083
Ge 0.0933 0.9067 0.2500
Ge 0.9067 0.0933 0.7500
Te 0.2605 0.7395 0.7500
Te 0.4187 0.5813 0.2500
Te 0.5813 0.4187 0.7500
Te 0.7395 0.2605 0.2500

DOS(E_F)	64.110	states/eV/cell
formation energy from raw total energies	-0.81	eV per atom
total magnetic moment	31.9	μB per cell
space-group type	C2/c, No. 15

> What is the DOS(E_F) in the first record?

2.338 states/eV/cell

Repeat the first record exactly.
Material: Mg2MnBr
Method: DFT, GGA-PBE
State: optimized geometry

Cell lengths 5.2232, 5.2232, 3.2547 Å; angles 90.00, 90.00, 107.14 degrees
Positions (direct):
Mg 0.0000 0.5000 0.0000
Mg 0.5000 0.0000 0.0000
Mn 0.0000 0.0000 0.5000
Br 0.5000 0.5000 0.5000

DOS(E_F)	2.338	states/eV/cell
formation energy from raw total energies	0.07	eV per atom
total magnetic moment	3.7	μB per cell
E above lowest polymorph	188	meV/atom
space-group type	Cmmm, No. 65

> Look up the DOS(E_F) of the second one.

4.467 states/eV/cell

> Which of these has the highest DOS(E_F)?

Pu3GeTe2